# K2SnAs2

A relaxed K2SnAs2 crystal (PBE, the Alexandria database).

Cell: 7.527 7.527 5.331 Å, 90.00 90.00 90.00°
Fractional positions:
K 0.179 0.679 0.500
K 0.679 0.821 0.500
K 0.821 0.321 0.500
K 0.321 0.179 0.500
As 0.384 0.884 0.000
As 0.884 0.616 0.000
As 0.616 0.116 0.000
As 0.116 0.384 0.000
Sn 0.000 0.000 0.000
Sn 0.500 0.500 0.000

Theoretical density = 3.81 g/cm³
DFT total energy = -34.18 eV per cell